Record 1
DFT (PBEsol) results for crystalline ZnP4O11 at its relaxed geometry.

## Properties
Spin magnetization = 0.0 μB per cell
SG = P-1, No. 2
Density of states at the Fermi level = 0.00 states/eV/cell
Excess energy over the best structure of this formula in the dataset = 5 meV/atom

Unit cell a=9.1715 b=9.2301 c=10.6826 alpha=109.12 beta=108.30 gamma=90.82
Atoms (fractional coordinates):
O: 0.7393 0.7406 0.5647
O: 0.0593 0.6956 0.3115
O: 0.6113 0.2644 0.5959
O: 0.9407 0.3044 0.6885
O: 0.8083 0.8984 0.1761
O: 0.7585 0.9882 0.5020
O: 0.2510 0.7260 0.0296
O: 0.2415 0.0118 0.4980
O: 0.1845 0.3592 0.6459
O: 0.2010 0.4095 0.8971
O: 0.4865 0.6928 0.2019
O: 0.6847 0.8567 0.8669
O: 0.8603 0.1336 0.1293
O: 0.1397 0.8664 0.8707
O: 0.0862 0.0256 0.2531
O: 0.4376 0.4686 0.6503
O: 0.9689 0.7428 0.9674
O: 0.4076 0.8120 0.6855
O: 0.0824 0.8390 0.6135
O: 0.2607 0.2594 0.4353
O: 0.3691 0.0266 0.3233
O: 0.2893 0.4810 0.1882
O: 0.5135 0.3072 0.7981
O: 0.8155 0.6408 0.3541
O: 0.3887 0.7356 0.4041
O: 0.7107 0.5190 0.8118
O: 0.5624 0.5314 0.3497
O: 0.3153 0.1433 0.1331
O: 0.1917 0.1016 0.8239
O: 0.4999 0.3232 0.0376
O: 0.8060 0.4660 0.4982
O: 0.0760 0.5835 0.7742
O: 0.6309 0.9734 0.6767
O: 0.4818 0.9284 0.1346
O: 0.5001 0.6768 0.9624
O: 0.9240 0.4165 0.2258
O: 0.9176 0.1610 0.3866
O: 0.0311 0.2572 0.0326
O: 0.9138 0.9744 0.7469
O: 0.7490 0.2740 0.9704
O: 0.5924 0.1880 0.3145
O: 0.5182 0.0716 0.8654
O: 0.1940 0.5340 0.5018
O: 0.7990 0.5905 0.1029
P: 0.5654 0.2507 0.9263
P: 0.4346 0.7493 0.0737
P: 0.2628 0.4159 0.5574
P: 0.9067 0.5980 0.2421
P: 0.7372 0.5841 0.4426
P: 0.2374 0.0750 0.3876
P: 0.4420 0.0902 0.2269
P: 0.9075 0.0498 0.2459
P: 0.0925 0.9502 0.7541
P: 0.4125 0.6095 0.2860
P: 0.9045 0.2722 0.0897
P: 0.0955 0.7278 0.9103
P: 0.7626 0.9250 0.6124
P: 0.0933 0.4020 0.7579
P: 0.5875 0.3905 0.7140
P: 0.5580 0.9098 0.7731
Zn: 0.7715 0.2285 0.4972
Zn: 0.7456 0.7184 0.9795
Zn: 0.2285 0.7715 0.5028
Zn: 0.2544 0.2816 0.0205

Record 2
DFT (PBEsol) results for crystalline YAsS3 at its relaxed geometry.

## Properties
Spin magnetization = 0.0 μB per cell
SG = Pm-3m, No. 221
Density of states at the Fermi level = 0.29 states/eV/cell
Electronic total energy = -28.24 eV/f.u.

Unit cell a=4.6780 b=4.6780 c=4.6780 alpha=90.00 beta=90.00 gamma=90.00
Atoms (fractional coordinates):
S: 0.0000 0.5000 0.0000
S: 0.0000 0.0000 0.5000
S: 0.5000 0.0000 0.0000
Y: 0.5000 0.5000 0.5000
As: 0.0000 0.0000 0.0000

> spin magnetization of number 1 (ZnP4O11)?

0.0 μB per cell

> Which formula does entry 1 have?

ZnP4O11